Y2RuCl | GGA-PBEsol | optimized geometry

## Properties
energy relative to the lowest polymorph listed for this composition = 252 meV/atom
formation energy without anion corrections = -696 meV per atom

```
Y2RuCl
1.0
3.348 0.000 0.000
0.000 4.598 0.000
-1.674 0.000 5.334
Y Ru Cl
2 1 1
direct
0.991 0.500 0.981 Y
0.256 0.000 0.513 Y
0.738 0.500 0.476 Ru
0.515 0.000 0.030 Cl
```



Y2RuCl | GGA-PBEsol | optimized geometry

## Properties
energy relative to the lowest polymorph listed for this composition = 209 meV/atom
formation energy without anion corrections = -739 meV per atom

```
Y2RuCl
1.0
-0.076 -1.730 2.851
-3.040 -1.662 -1.091
5.616 -3.661 -4.024
Y Ru Cl
2 1 1
direct
0.069 0.069 0.137 Y
0.786 0.286 0.573 Y
0.197 0.697 0.394 Ru
0.448 0.448 0.896 Cl
```



YRuCl | GGA-PBEsol | optimized geometry

## Properties
formation energy without anion corrections = 352 meV per atom

```
YRuCl
1.0
4.562 0.000 0.000
2.281 3.951 0.000
2.281 1.317 3.725
Y Ru Cl
1 1 1
direct
0.750 0.750 0.750 Y
0.500 0.500 0.500 Ru
0.000 0.000 0.000 Cl
```



YRuCl2 | GGA-PBEsol | optimized geometry

## Properties
energy relative to the lowest polymorph listed for this composition = 0 meV/atom
formation energy without anion corrections = -423 meV per atom

```
YRuCl2
1.0
-0.844 1.412 -3.374
-3.575 0.410 1.066
3.225 3.647 2.807
Y Ru Cl
1 1 2
direct
0.250 0.750 0.500 Y
0.500 0.500 0.000 Ru
0.000 0.000 0.000 Cl
0.750 0.250 0.500 Cl
```